1.
A plane-wave DFT calculation with PBE was carried out for a relaxed structure of SrPb3F.

Results
E: -2.425 eV per atom
uncorrected formation energy: 0.5105 eV per atom

a = 6.291 Å, b = 6.291 Å, c = 6.291 Å
α = 90.00°, β = 90.00°, γ = 90.00°
Each line ends with the local moment (μB).
Atoms (fractional coordinates):
1 Pb 0.000 0.500 0.000  0.12
2 Pb 0.000 0.000 0.500  0.09
3 Pb 0.500 0.000 0.000  0.10
4 Sr 0.000 0.000 0.000  0.12
5 F 0.500 0.500 0.500  0.06


2.
A plane-wave DFT calculation with PBE was carried out for a relaxed structure of SrPb2F.

Results
E: -3.476 eV per atom
uncorrected formation energy: -0.7339 eV per atom

a = 6.023 Å, b = 6.023 Å, c = 9.014 Å
α = 70.48°, β = 70.48°, γ = 90.00°
Atoms (fractional coordinates):
1 Pb 0.438 0.125 0.250
2 Pb 0.312 0.625 0.250
3 Pb 0.375 0.562 0.750
4 Pb 0.875 0.688 0.750
5 Sr 0.000 0.000 0.000
6 Sr 0.750 0.250 0.500
7 F 0.500 0.500 0.000
8 F 0.250 0.750 0.500


3.
A plane-wave DFT calculation with PBE was carried out for a relaxed structure of SrPbF2.

Results
E: -4.907 eV per atom
uncorrected formation energy: -2.6242 eV per atom

a = 8.402 Å, b = 8.402 Å, c = 8.402 Å
α = 26.22°, β = 26.22°, γ = 26.22°
Atoms (fractional coordinates):
1 Pb 0.000 0.000 0.000
2 Sr 0.500 0.500 0.500
3 F 0.875 0.875 0.875
4 F 0.125 0.125 0.125